A relaxed structure of RbSrH2Se. Source: the Alexandria database, functional PBE-GGA.

Calculated values
* uncorrected energy: -2.988 eV/atom
* SG: No. 123

a b c (Å): 4.870 4.870 6.103
angles (deg): 90.00 90.00 90.00
Positions (direct):
1 Rb 0.000 0.000 0.000
2 Sr 0.500 0.500 0.500
3 H 0.000 0.500 0.500
4 H 0.500 0.000 0.500
5 Se 0.500 0.500 0.000